Entry from Alexandria via LeMat-Bulk: crystalline BC2 at its relaxed geometry (PBE-GGA).

```
BC2
1.0
2.545 0.000 0.000
0.000 4.640 -0.264
0.000 -0.370 6.440
B C
4 8
Cartesian
1.273 2.115 1.325
1.273 2.089 6.022
1.273 0.414 6.117
0.000 1.227 2.189
1.273 3.701 1.918
0.000 2.958 4.051
0.000 1.382 3.743
0.000 4.374 1.381
0.000 4.541 -0.132
0.000 2.894 5.572
1.273 0.691 4.314
1.273 3.691 3.511
```

For the spin magnetization, the calculation gives 0.00 μB/cell. Its formation energy is 36.5 kJ per mole of atoms. For the energy above the lowest structure with this stoichiometry, the calculation gives 138.5 meV per atom. As for the uncorrected energy: -95.96 eV for the cell shown. The space group is Pm. Its volume is 6.318 A^3/atom.



Entry from Alexandria via LeMat-Bulk: crystalline NaRePt2 at its relaxed geometry (PBE-GGA).

```
NaRePt2
1.0
7.352 0.000 0.000
0.000 7.352 0.000
3.676 3.676 2.803
Re Pt Na
2 4 2
Cartesian
0.000 0.000 0.000
7.352 3.676 1.402
5.815 1.838 0.701
1.537 5.514 0.701
5.514 5.213 2.102
9.190 9.490 2.102
3.676 3.676 0.000
3.676 7.352 1.402
```

For the spin magnetization, the calculation gives 3.98 μB/cell. Its formation energy is 63.4 kJ per mole of atoms. For the energy above the lowest structure with this stoichiometry, the calculation gives 273.5 meV per atom. As for the uncorrected energy: -46.44 eV for the cell shown. The space group is I-42d. Its volume is 18.938 A^3/atom.



Entry from Alexandria via LeMat-Bulk: crystalline Sn6PdAu at its relaxed geometry (PBE-GGA).

```
Sn6PdAu
1.0
8.250 -0.156 -2.769
-4.229 7.051 -2.857
-0.148 -0.336 7.958
Sn Pd Au
12 2 2
Cartesian
-1.713 4.376 4.139
5.587 2.183 -1.806
4.057 4.314 -0.287
-0.183 2.245 2.620
5.946 0.675 2.525
-2.072 5.884 -0.192
0.505 5.649 1.363
3.369 0.910 0.970
1.806 5.554 -3.006
2.068 1.005 5.339
3.315 3.143 3.594
0.559 3.416 -1.261
-2.114 3.526 -1.428
4.125 -0.078 -1.384
-0.074 -0.168 3.979
1.937 3.279 1.166
```

For the spin magnetization, the calculation gives 0.00 μB/cell. Its formation energy is -12.6 kJ per mole of atoms. As for the uncorrected energy: -67.07 eV for the cell shown. The space group is C2/m. Its volume is 27.682 A^3/atom.



Entry from Alexandria via LeMat-Bulk: crystalline Na2Cd4Ag at its relaxed geometry (PBE-GGA).

```
Na2Cd4Ag
1.0
4.902 0.000 0.000
0.000 5.694 0.000
0.000 -2.847 7.462
Na Cd Ag
2 4 1
Cartesian
2.451 0.000 2.438
2.451 2.847 5.024
2.451 2.847 1.452
0.000 2.847 2.998
2.451 0.000 6.010
0.000 0.000 4.464
0.000 2.847 0.000
```

For the spin magnetization, the calculation gives 0.00 μB/cell. Its formation energy is 5.6 kJ per mole of atoms. For the energy above the lowest structure with this stoichiometry, the calculation gives 87.7 meV per atom. As for the uncorrected energy: -8.74 eV for the cell shown. The space group is Cmmm. Its volume is 29.757 A^3/atom.